No. 1
{
  "formula": "SrCuH3",
  "functional": "PBE",
  "state": "optimized geometry",
  "cell": [[-1.9956, 1.9956, 8.5902], [1.9956, -1.9956, 8.5902], [1.9956, 1.9956, -8.5902]],
  "species": ["Sr", "Sr", "Cu", "Cu", "H", "H", "H", "H", "H", "H"],
  "fractional_positions": [[0.0000, 0.0000, 0.0000], [0.7500, 0.2500, 0.5000], [0.1635, 0.6635, 0.5000], [0.3365, 0.8365, 0.5000], [0.3351, 0.3351, 0.0000], [0.5088, 0.1104, 0.3984], [0.6649, 0.6649, 0.0000], [0.7121, 0.1104, 0.6016], [0.8896, 0.2879, 0.3984], [0.8896, 0.4912, 0.6016]],
  "final_energy_ev_per_atom": -3.0256,
  "space_group": "I-4m2, No. 119",
  "magnetic_moment_mub_per_cell": 0.0
}



No. 2
{
  "formula": "SrCuH3",
  "functional": "PBE",
  "state": "optimized geometry",
  "cell": [[4.3254, -3.5141, 0.0000], [4.3254, 3.5141, 0.0000], [-0.1517, 0.0000, 4.1406]],
  "species": ["Sr", "Sr", "Cu", "Cu", "H", "H", "H", "H", "H", "H"],
  "fractional_positions": [[0.2031, 0.2031, 0.2946], [0.7969, 0.7969, 0.7054], [0.3273, 0.6727, 0.0000], [0.6727, 0.3273, 0.0000], [0.0852, 0.6908, 0.2163], [0.3092, 0.9148, 0.7837], [0.3880, 0.3880, 0.8110], [0.6120, 0.6120, 0.1890], [0.6908, 0.0852, 0.2163], [0.9148, 0.3092, 0.7837]],
  "final_energy_ev_per_atom": -3.5107,
  "space_group": "C2/m, No. 12",
  "magnetic_moment_mub_per_cell": 0.0
}



No. 3
{
  "formula": "SrZnCuH6",
  "functional": "PBE",
  "state": "optimized geometry",
  "cell": [[4.4494, 0.0000, 0.0000], [-1.5921, 4.4707, 0.0000], [-0.8930, -0.3581, 4.9732]],
  "species": ["Sr", "Zn", "Cu", "H", "H", "H", "H", "H", "H"],
  "fractional_positions": [[0.0000, 0.0000, 0.0000], [0.3693, 0.6604, 0.5397], [0.7674, 0.3570, 0.3707], [0.0488, 0.2628, 0.5677], [0.0850, 0.5955, 0.2537], [0.3910, 0.8206, 0.8332], [0.5109, 0.0147, 0.3688], [0.5934, 0.3639, 0.0722], [0.7144, 0.5839, 0.6006]],
  "final_energy_ev_per_atom": -3.1004,
  "space_group": "P1, No. 1",
  "magnetic_moment_mub_per_cell": 0.0
}



No. 4
{
  "formula": "TaCuH3",
  "functional": "PBE",
  "state": "optimized geometry",
  "cell": [[5.0350, 0.0000, 0.0000], [0.0000, 5.0963, 0.0000], [-1.0949, 0.0000, 6.3872]],
  "species": ["Ta", "Ta", "Ta", "Ta", "Cu", "Cu", "Cu", "Cu", "H", "H", "H", "H", "H", "H", "H", "H", "H", "H", "H", "H"],
  "fractional_positions": [[0.0152, 0.2244, 0.3632], [0.0152, 0.2756, 0.8632], [0.9848, 0.7244, 0.1368], [0.9848, 0.7756, 0.6368], [0.4875, 0.0284, 0.7041], [0.4875, 0.4716, 0.2041], [0.5125, 0.5284, 0.7959], [0.5125, 0.9716, 0.2959], [0.1967, 0.0641, 0.1523], [0.1967, 0.4359, 0.6523], [0.2397, 0.5472, 0.3471], [0.2397, 0.9528, 0.8471], [0.2463, 0.5633, 0.9821], [0.2463, 0.9367, 0.4821], [0.7537, 0.0633, 0.5179], [0.7537, 0.4367, 0.0179], [0.7603, 0.0472, 0.1529], [0.7603, 0.4528, 0.6529], [0.8033, 0.5641, 0.3477], [0.8033, 0.9359, 0.8477]],
  "final_energy_ev_per_atom": -5.1514,
  "space_group": "P2_1/c, No. 14",
  "magnetic_moment_mub_per_cell": 0.0
}



No. 5
{
  "formula": "Ta2CuH",
  "functional": "PBE",
  "state": "optimized geometry",
  "cell": [[-3.0143, 3.0143, 2.9052], [3.0143, -3.0143, 2.9052], [3.0143, 3.0143, -2.9052]],
  "species": ["Ta", "Ta", "Ta", "Ta", "Cu", "Cu", "H", "H"],
  "fractional_positions": [[0.0521, 0.6250, 0.9271], [0.3750, 0.3021, 0.4271], [0.6979, 0.1250, 0.0729], [0.8750, 0.9479, 0.5729], [0.2500, 0.7500, 0.5000], [0.5000, 0.5000, 0.0000], [0.0000, 0.0000, 0.0000], [0.7500, 0.2500, 0.5000]],
  "space_group": "I-42d, No. 122",
  "magnetic_moment_mub_per_cell": 0.0,
  "de_polymorph_ev_per_atom": 0.0000
}



No. 6
{
  "formula": "TaCu3H",
  "functional": "PBE",
  "state": "optimized geometry",
  "cell": [[3.8599, 0.0000, 0.0000], [0.0000, 3.8599, 0.0000], [0.0000, 0.0000, 3.8599]],
  "species": ["Ta", "Cu", "Cu", "Cu", "H"],
  "fractional_positions": [[0.0000, 0.0000, 0.0000], [0.0000, 0.5000, 0.5000], [0.5000, 0.0000, 0.5000], [0.5000, 0.5000, 0.0000], [0.5000, 0.5000, 0.5000]],
  "space_group": "Pm-3m, No. 221",
  "magnetic_moment_mub_per_cell": 0.0,
  "de_polymorph_ev_per_atom": 0.0000
}



No. 7
{
  "formula": "TaCuH",
  "functional": "PBE",
  "state": "optimized geometry",
  "cell": [[2.9765, 0.0000, 0.0000], [-1.4883, 2.5778, 0.0000], [0.0000, 0.0000, 4.4737]],
  "species": ["Ta", "Cu", "H"],
  "fractional_positions": [[0.0000, 0.0000, 0.0000], [0.6667, 0.3333, 0.4789], [0.3333, 0.6667, 0.7891]],
  "space_group": "P3m1, No. 156",
  "magnetic_moment_mub_per_cell": 0.0,
  "de_polymorph_ev_per_atom": 0.0985
}



No. 8
{
  "formula": "TaCuH3",
  "functional": "PBE",
  "state": "optimized geometry",
  "cell": [[3.3482, 0.0000, 0.0000], [0.0000, 3.3482, 0.0000], [0.0000, 0.0000, 3.3482]],
  "species": ["Ta", "Cu", "H", "H", "H"],
  "fractional_positions": [[0.0000, 0.0000, 0.0000], [0.5000, 0.5000, 0.5000], [0.0000, 0.5000, 0.5000], [0.5000, 0.0000, 0.5000], [0.5000, 0.5000, 0.0000]],
  "final_energy_ev_per_atom": -4.7904,
  "space_group": "Pm-3m, No. 221",
  "magnetic_moment_mub_per_cell": 0.0
}